# PBE+U MnFePbO4, relaxed
# - calculated total energy (eV per atom) = -6.3043
# - magnetization (μB/f.u.) = 6.986
data_MnFePbO4
_symmetry_space_group_name_H-M 'P 1 21/m 1'
_symmetry_Int_Tables_number 11
_cell_length_a 5.8205
_cell_length_b 5.8990
_cell_length_c 6.5089
_cell_angle_alpha 90.00
_cell_angle_beta 107.76
_cell_angle_gamma 90.00
loop_
_symmetry_equiv_pos_as_xyz
'x,y,z'
'-x,-y,-z'
'-x,y+1/2,-z'
'x,-y+1/2,z'
loop_
_atom_site_label
_atom_site_type_symbol
_atom_site_fract_x
_atom_site_fract_y
_atom_site_fract_z
Mn1 Mn 0.2211 0.2500 0.1689
Fe1 Fe 0.3795 0.7500 0.0069
Pb1 Pb 0.2253 0.7500 0.4786
O1 O 0.0501 0.7500 0.0519
O2 O 0.1004 0.2500 0.3960
O3 O 0.4687 0.0400 0.1969